No. 1
Mn2AlIn, optimized geometry, DFT GGA-PBE; ΔH_f (0 K) = 1.21 eV per formula unit; total magnetic moment = 1.24 μB per atom
1.0
0.000 3.127 3.127
3.127 0.000 3.127
3.127 3.127 0.000
Mn Al In
2 1 1
Direct
0.000 0.000 0.000
0.250 0.250 0.250
0.750 0.750 0.750
0.500 0.500 0.500

=====

No. 2
Mn2AlIn, optimized geometry, DFT GGA-PBE; ΔH_f (0 K) = 0.40 eV per formula unit; total magnetic moment = 0.07 μB per atom
1.0
2.831 0.000 0.000
0.000 2.831 0.000
0.000 0.000 7.573
Mn Al In
2 1 1
Direct
0.000 0.000 0.000
0.500 0.500 0.168
0.000 0.000 0.378
0.500 0.500 0.732

=====

No. 3
Mn2AlIn, optimized geometry, DFT GGA-PBE; ΔH_f (0 K) = 0.20 eV per formula unit; total magnetic moment = 1.33 μB per atom
1.0
-1.998 1.998 3.825
1.998 -1.998 3.825
1.998 1.998 -3.825
Mn Al In
2 1 1
Direct
0.250 0.750 0.500
0.750 0.250 0.500
0.000 0.000 0.000
0.500 0.500 0.000

=====

no.,E (eV per cell)
1,-23.609
2,-24.416
3,-24.620